Record 1
{"formula": "K2FeMo", "functional": "PBE", "state": "optimized geometry", "magmom_total_mub_per_cell": 2.60, "delta_e_f_ev_per_fu": 5.708, "relative_energy_mev_per_atom": 573, "dos_at_fermi_per_ev_atom": 1.40, "lattice_angstrom": [[2.7984, 0.0269, 0.0000], [-0.9694, 2.6252, 0.0000], [0.0000, 0.0000, 12.0594]], "species": ["Fe", "K", "K", "Mo"], "fractional_positions": [[0.5000, 0.5000, 0.7500], [0.0000, 0.0000, 0.5057], [0.0000, 0.0000, 0.9943], [0.5000, 0.5000, 0.2500]]}

Record 2
{"formula": "AlCd2Te", "functional": "PBE", "state": "optimized geometry", "magmom_total_mub_per_cell": 0.00, "raw_formation_energy_ev_per_fu": 0.5, "relative_energy_mev_per_atom": 144, "dos_at_fermi_per_ev_atom": 0.35, "lattice_angstrom": [[3.8800, 0.0000, 0.0000], [0.0000, 4.7164, 0.0000], [0.0000, 0.0000, 5.3980]], "species": ["Al", "Cd", "Cd", "Te"], "fractional_positions": [[0.0000, 0.5000, 0.5000], [0.5000, 0.5000, 0.0000], [0.0000, 0.0000, 0.0000], [0.5000, 0.0000, 0.5000]]}

Record 3
{"formula": "EuTlHgGe", "functional": "PBE", "state": "optimized geometry", "magmom_total_mub_per_cell": 6.95, "delta_e_f_ev_per_fu": -0.995, "dos_at_fermi_per_ev_atom": 0.65, "lattice_angstrom": [[5.3141, 0.0000, 0.0000], [2.6571, 4.6022, 0.0000], [2.6571, 1.5341, 4.3390]], "species": ["Ge", "Hg", "Eu", "Tl"], "fractional_positions": [[0.2500, 0.2500, 0.2500], [0.7500, 0.7500, 0.7500], [0.0000, 0.0000, 0.0000], [0.5000, 0.5000, 0.5000]]}

no.,V (Å³/atom)
1,22.2
2,24.7
3,26.5